Computed, not measured: crystalline NaZnP at its relaxed geometry at the PBE level of DFT.

Calculated values
Total DFT energy (no corrections): -2.963 eV/atom
Density: 2.77 g/cm3
SG: C2/m, No. 12

extended XYZ file:
```
6
Lattice="-2.6104 2.1678 2.2705 1.6150 -4.4157 6.0679 4.3567 2.6506 -1.2000" Properties=species:S:1:pos:R:3 pbc="T T T"
Na 3.4661 0.0821 3.8968
Na -0.1048 0.3207 3.2416
Zn 0.7560 2.9507 1.7197
Zn 2.6053 -2.5480 5.4188
P 2.1463 1.0709 1.4424
P 1.2149 -0.6682 5.6961
```



Computed, not measured: crystalline Dy2Ag4Se5 at its relaxed geometry at the PBE level of DFT.

Calculated values
Total DFT energy (no corrections): -4.174 eV/atom
Density: 6.85 g/cm3
N(E_F): 4.66 states/eV/cell
Raw formation energy: -0.72 eV per atom
SG: R-3m, No. 166

extended XYZ file:
```
11
Lattice="4.2187 0.0000 0.0000 2.1093 3.6535 0.0000 2.1093 1.2178 18.1161" Properties=species:S:1:pos:R:3 pbc="T T T"
Ag 4.2187 2.4357 13.6782
Ag 6.3280 3.6535 17.0240
Ag 2.1093 1.2178 1.0921
Ag 4.2187 2.4357 4.4379
Dy 2.1093 1.2178 10.7204
Dy 6.3280 3.6535 7.3957
Se 4.2187 2.4357 9.0581
Se 2.1093 1.2178 5.8426
Se 4.2187 2.4357 1.8865
Se 6.3280 3.6535 12.2735
Se 4.2187 2.4357 16.2296
```



Computed, not measured: crystalline BaCr2Hg at its relaxed geometry at the PBE level of DFT.

Calculated values
Total DFT energy (no corrections): -4.557 eV/atom
Density: 6.72 g/cm3
N(E_F): 3.32 states/eV/cell
SG: Pmmm, No. 47

extended XYZ file:
```
4
Lattice="4.6124 0.0000 0.0000 0.0000 4.9363 0.0000 0.0000 0.0000 4.7955" Properties=species:S:1:pos:R:3 pbc="T T T"
Cr 0.0000 0.0000 0.0000
Cr 2.3062 2.4681 0.0000
Ba 0.0000 2.4681 2.3978
Hg 2.3062 0.0000 2.3978
```



Computed, not measured: crystalline DyZr2Fe9 at its relaxed geometry at the PBE level of DFT.

Calculated values
Total DFT energy (no corrections): -8.346 eV/atom
Density: 8.17 g/cm3
N(E_F): 9.61 states/eV/cell
SG: R-3m, No. 166

extended XYZ file:
```
12
Lattice="4.7881 0.0000 1.4250 2.1820 4.2620 1.4250 0.0824 0.0504 8.4799" Properties=species:S:1:pos:R:3 pbc="T T T"
Fe 1.7333 2.5312 7.2888
Fe 4.7330 2.8941 10.3666
Fe 4.0095 3.9230 4.0411
Fe 2.3194 1.4183 0.9633
Fe 3.0429 0.3893 7.2888
Fe 5.3192 1.7812 4.0411
Fe 4.1395 2.5312 8.0049
Fe 2.9129 1.7812 3.3250
Fe 3.5262 2.1562 5.6649
Dy 0.0000 0.0000 0.0000
Zr 1.0400 0.6359 5.2621
Zr 6.0124 3.6764 6.0678
```



Computed, not measured: crystalline AcRe4B4 at its relaxed geometry at the PBE level of DFT.

Calculated values
Total DFT energy (no corrections): -9.206 eV/atom
Density: 13.66 g/cm3
N(E_F): 10.51 states/eV/cell
SG: P4_2/n, No. 86

extended XYZ file:
```
18
Lattice="4.1466 0.0000 0.0000 0.0000 7.7145 0.0000 0.0000 0.0000 7.7145" Properties=species:S:1:pos:R:3 pbc="T T T"
Re 2.5859 6.8586 4.9482
Re 0.5126 1.0909 4.7131
Re 2.5859 0.8559 2.7663
Re 3.6341 3.0014 1.0909
Re 0.5126 6.6235 3.0014
Re 3.6341 4.7131 6.6235
Re 1.5608 2.7663 6.8586
Re 1.5608 4.9482 0.8559
B 3.6621 2.5663 6.0708
B 2.5579 1.2910 5.5009
B 0.4846 6.0708 5.1482
B 0.4846 1.6437 2.5663
B 1.5887 2.2136 1.2910
B 2.5579 6.4235 2.2136
B 3.6621 5.1482 1.6437
B 1.5887 5.5009 6.4235
Ac 0.0000 0.0000 0.0000
Ac 2.0733 3.8572 3.8572
```



Computed, not measured: crystalline K2Pu3ZrO12 at its relaxed geometry at the PBE level of DFT.

Calculated values
Total DFT energy (no corrections): -8.838 eV/atom
Density: 5.43 g/cm3
N(E_F): 10.96 states/eV/cell
Raw formation energy: -2.55 eV per atom
SG: R-3m, No. 166

extended XYZ file:
```
18
Lattice="-0.5919 5.3264 -5.5168 -0.2713 -2.3570 -7.3162 -6.6768 0.6043 -3.7698" Properties=species:S:1:pos:R:3 pbc="T T T"
O -2.5422 -0.3662 -9.8445
O -0.8647 3.5015 -4.4857
O -0.6683 -1.2062 -5.5882
O -4.5929 0.6082 -3.4153
O -4.7952 -0.9166 -7.8956
O -4.9978 3.9398 -6.7583
O -0.9492 2.0681 -8.9999
O -6.5909 1.5055 -7.6029
O -2.7449 4.4903 -8.7072
O -6.6753 0.0722 -12.1171
O -6.8718 4.7799 -11.0146
O -2.9471 2.9655 -13.1875
Zr 0.0000 0.0000 0.0000
Pu -0.2960 2.6632 -2.7584
Pu -0.1357 -1.1785 -3.6581
Pu -3.3384 0.3021 -1.8849
K -2.5239 1.1962 -5.5575
K -5.0161 2.3774 -11.0453
```



Computed, not measured: crystalline Ce2GaPdS5 at its relaxed geometry at the PBE level of DFT.

Calculated values
Total DFT energy (no corrections): -5.826 eV/atom
Density: 5.45 g/cm3
N(E_F): 18.42 states/eV/cell
Raw formation energy: -1.30 eV per atom
SG: Cmc2_1, No. 36

extended XYZ file:
```
18
Lattice="-0.9907 3.5806 1.0916 -6.5474 -4.8786 3.1922 5.7486 -1.3671 9.7014" Properties=species:S:1:pos:R:3 pbc="T T T"
S -2.4545 -2.4211 5.7137
S -2.4021 0.2965 3.7151
S 0.4950 0.3329 6.2249
S 3.9216 0.7150 8.0817
S 1.7674 -0.5062 10.1320
S -0.3168 -2.7406 8.7016
S -3.7388 -1.8061 9.3987
S 0.4351 -3.6448 12.3500
S -5.4263 -3.4478 6.3841
S -0.2442 -0.3373 0.8848
Ce -1.1280 -1.5865 11.0478
Ce -0.1189 -1.2076 3.8531
Ce -4.7751 -0.7678 5.0525
Ce 2.1264 -1.6929 7.4828
Ga -3.4351 -3.2630 7.5852
Ga 3.9661 0.0461 10.3161
Pd -0.8413 -0.5545 7.9229
Pd -3.0857 -1.6023 2.4550
```



Computed, not measured: crystalline Pu3TiGa12 at its relaxed geometry at the PBE level of DFT.

Calculated values
Total DFT energy (no corrections): -5.810 eV/atom
Density: 8.99 g/cm3
N(E_F): 30.43 states/eV/cell
SG: P4/mmm, No. 123

extended XYZ file:
```
16
Lattice="-3.4909 1.5505 1.7858 -2.0951 -3.5045 -1.0527 4.3706 -7.0069 14.6273" Properties=species:S:1:pos:R:3 pbc="T T T"
Ga -1.2439 -0.0288 2.5714
Ga -0.1233 -1.8253 6.3216
Ga -0.6077 -4.4804 7.6802
Ga 1.0031 -3.6311 10.0915
Ga -0.5460 -2.5563 1.1521
Ga -1.7187 -2.6993 3.9619
Ga 2.1237 -5.4276 13.8417
Ga -2.7930 -0.9770 0.3665
Ga 0.5745 -4.3528 4.9023
Ga 0.5034 -6.2616 11.3985
Ga 1.7010 -6.1586 8.6722
Ga 2.8215 -7.9551 12.4225
Pu 2.1853 -3.5034 7.3137
Pu 1.0507 -1.6845 3.5164
Pu 3.3199 -5.3224 11.1109
Ti 0.0000 0.0000 0.0000
```



Computed, not measured: crystalline VP2HPb at its relaxed geometry at the PBE level of DFT.

Calculated values
Total DFT energy (no corrections): -5.248 eV/atom
Density: 5.84 g/cm3
N(E_F): 3.60 states/eV/cell
SG: P4/mmm, No. 123

extended XYZ file:
```
5
Lattice="4.8180 0.0000 0.0000 0.0000 3.9325 0.0000 0.0000 0.0000 4.8180" Properties=species:S:1:pos:R:3 pbc="T T T"
Pb 2.4090 1.9663 2.4090
P 0.0000 0.0000 2.4090
P 2.4090 0.0000 0.0000
V 0.0000 0.0000 0.0000
H 0.0000 1.9663 0.0000
```



Computed, not measured: crystalline Mn3B4Mo3 at its relaxed geometry at the PBE level of DFT.

Calculated values
Total DFT energy (no corrections): -9.102 eV/atom
Density: 8.03 g/cm3
N(E_F): 5.34 states/eV/cell
SG: Amm2, No. 38

extended XYZ file:
```
10
Lattice="5.7153 0.0212 0.0000 -0.0832 5.7147 0.0000 0.0000 0.0000 3.1405" Properties=species:S:1:pos:R:3 pbc="T T T"
B 0.6293 0.6409 0.0000
B 4.9348 5.0258 0.0000
B 2.2256 3.5550 0.0000
B 3.5138 2.2901 0.0000
Mn 3.8148 3.8851 1.5702
Mn 2.7819 5.6988 0.0000
Mn 5.6470 2.8855 0.0000
Mo 0.9325 4.6828 1.5702
Mo 4.6650 1.0179 1.5702
Mo 1.8318 1.8655 1.5702
```



Computed, not measured: crystalline CaVTeI2 at its relaxed geometry at the PBE level of DFT.

Calculated values
Total DFT energy (no corrections): -3.942 eV/atom
Density: 4.65 g/cm3
N(E_F): 1.77 states/eV/cell
Raw formation energy: -0.47 eV per atom
SG: P4/mmm, No. 123

extended XYZ file:
```
5
Lattice="-4.9728 2.1641 -0.5951 -0.1032 -1.6654 -5.1944 -2.3281 -4.9047 1.6188" Properties=species:S:1:pos:R:3 pbc="T T T"
I -2.4864 1.0820 -0.2975
I -0.0516 -0.8327 -2.5972
V 0.0000 0.0000 0.0000
Te -1.1641 -2.4523 0.8094
Ca -3.7021 -2.2030 -2.0854
```



Computed, not measured: crystalline CaMnSi2 at its relaxed geometry at the PBE level of DFT.

Calculated values
Total DFT energy (no corrections): -5.807 eV/atom
Density: 3.55 g/cm3
N(E_F): 1.67 states/eV/cell
Raw formation energy: -0.30 eV per atom
SG: R-3m, No. 166

extended XYZ file:
```
4
Lattice="-3.4270 2.7466 -3.7132 -1.1240 0.2043 -5.6366 -4.2808 -1.0922 -3.6822" Properties=species:S:1:pos:R:3 pbc="T T T"
Ca -2.2079 0.4647 -3.2580
Si -4.0130 0.8445 -5.9215
Si -0.4029 0.0848 -0.5945
Mn -6.6238 1.3940 -9.7740
```



Question: Look up the total DFT energy (no corrections) of the ninth one.
Answer: -5.248 eV/atom